Computed, not measured: crystalline SrTlAs2O6 at its relaxed geometry at the PBE level of DFT.

Cell and atoms, written as POSCAR:
```
SrTlAs2O6
1.0
-6.149 -4.469 0.764
0.794 -2.687 -7.107
4.367 -3.354 3.093
O As Sr Tl
12 4 2 2
Direct
0.169 0.142 0.010
0.305 0.446 0.354
0.616 0.070 0.285
0.831 0.858 0.990
0.446 0.305 0.854
0.554 0.695 0.146
0.070 0.616 0.785
0.384 0.930 0.715
0.858 0.831 0.490
0.930 0.384 0.215
0.142 0.169 0.510
0.695 0.554 0.646
0.134 0.290 0.272
0.710 0.866 0.228
0.866 0.710 0.728
0.290 0.134 0.772
0.613 0.387 0.250
0.387 0.613 0.750
0.196 0.804 0.250
0.804 0.196 0.750
```

The uncorrected formation energy is -1.51 eV/atom.